The following is a DFT calculation (GGA-PBE) of a geometry-optimized AcNpGaGe structure.

```
data_AcNpGaGe
_chemical_formula_sum 'Ac4 Np4 Ga4 Ge4'
_cell_length_a 7.4670
_cell_length_b 7.4670
_cell_length_c 7.4670
_cell_angle_alpha 90.00
_cell_angle_beta 90.00
_cell_angle_gamma 90.00
_symmetry_space_group_name_H-M 'F -4 3 m'
_symmetry_Int_Tables_number 216
_symmetry_space_group_name_Hall 'F -4 2 3'
loop_
_atom_site_label
_atom_site_type_symbol
_atom_site_fract_x
_atom_site_fract_y
_atom_site_fract_z
_atom_site_occupancy
Ac1 Ac 0.0000 0.0000 0.0000 1
Np1 Np 0.0000 0.0000 0.5000 1
Ga1 Ga 0.2500 0.2500 0.2500 1
Ge1 Ge 0.2500 0.2500 0.7500 1
```

Calculated values
Formation energy, eV per atom: -0.117
E, eV/atom: -6.290
D(E_F), states/eV/f.u.: 6.6